# Rb3Dy3ErTe8

A relaxed structure of Rb3Dy3ErTe8 (PBE-GGA, Alexandria via LeMat-Bulk).

Cell: 8.8020 8.8020 26.5578 Å, 90.00 90.00 120.00°
Space group R-3m (No. 166, hexagonal axes)
Asymmetric unit:
Rb  0.0000  0.5000  0.0000 (multiplicity 9)
Dy  0.0000  0.5000  0.5000 (multiplicity 9)
Er  0.0000  0.0000  0.5000 (multiplicity 3)
Te  0.0000  0.0000  0.2334 (multiplicity 6)
Te  0.9999  0.4999  0.2328 (multiplicity 18)

Results
The value obtained for the density of states at the Fermi level is 20.05 states/eV per cell. The uncorrected formation energy comes out at -1.31 eV/atom. For the magnetic moment, the calculation gives 0.00 μB per formula unit. As for the crystal system: trigonal. Its electronic total energy is -4.41 eV/atom. The value obtained for the calculated volume is 39.6 Å³ per atom.

# DyErZnRe

A relaxed structure of DyErZnRe (PBE-GGA, Alexandria via LeMat-Bulk).

Cell: 6.931 6.931 6.931 Å, 90.00 90.00 90.00°
Space group F-43m (No. 216)
Asymmetric unit:
Dy  0.000  0.000  0.000 (multiplicity 4)
Er  0.000  0.000  0.500 (multiplicity 4)
Zn  0.250  0.250  0.250 (multiplicity 4)
Re  0.250  0.250  0.750 (multiplicity 4)

Results
The value obtained for the density of states at the Fermi level is 9.17 states/eV per cell. The calculation puts the energy of formation at -4.4 kJ/mol of atoms. For the magnetic moment, the calculation gives 0.00 μB per formula unit. As for the crystal system: cubic. Its electronic total energy is -5.77 eV/atom. The value obtained for the calculated volume is 20.8 Å³ per atom.

# DyEr4Rh4

A relaxed structure of DyEr4Rh4 (PBE-GGA, Alexandria via LeMat-Bulk).

Cell: 8.743 8.743 5.577 Å, 90.00 90.00 90.00°
Space group P4_2/n (No. 86, origin choice 2)
Asymmetric unit:
Dy  0.250  0.250  0.250 (multiplicity 2)
Er  0.070  0.662  0.157 (multiplicity 8)
Rh  0.028  0.625  0.655 (multiplicity 8)

Results
The value obtained for the density of states at the Fermi level is 11.05 states/eV per cell. The calculation puts the energy of formation at -66.3 kJ/mol of atoms. For the magnetic moment, the calculation gives 0.00 μB per formula unit. As for the crystal system: tetragonal. Its electronic total energy is -6.49 eV/atom. The value obtained for the calculated volume is 23.7 Å³ per atom.

# Dy3ErRh3

A relaxed structure of Dy3ErRh3 (PBE-GGA, Alexandria via LeMat-Bulk).

Cell: 9.821 9.706 6.692 Å, 90.00 90.05 90.00°
Space group C2/m (No. 12)
Asymmetric unit:
Dy  0.000  0.245  0.000 (multiplicity 4)
Dy  0.000  0.252  0.500 (multiplicity 4)
Dy  0.246  0.000  0.000 (multiplicity 4)
Er  0.239  0.000  0.500 (multiplicity 4)
Rh  0.000  0.000  0.250 (multiplicity 4)
Rh  0.250  0.250  0.252 (multiplicity 8)

Results
The value obtained for the density of states at the Fermi level is 12.82 states/eV per cell. The calculation puts the energy of formation at -70.9 kJ/mol of atoms. For the magnetic moment, the calculation gives 0.00 μB per formula unit. As for the crystal system: monoclinic. Its electronic total energy is -6.51 eV/atom. The value obtained for the calculated volume is 22.8 Å³ per atom.

# Dy2Er3Rh2

A relaxed structure of Dy2Er3Rh2 (PBE-GGA, Alexandria via LeMat-Bulk).

Cell: 11.946 3.772 8.855 Å, 90.00 116.31 90.00°
Space group C2/m (No. 12)
Asymmetric unit:
Dy  0.166  0.000  0.307 (multiplicity 4)
Er  0.000  0.500  0.500 (multiplicity 2)
Er  0.116  0.500  0.930 (multiplicity 4)
Rh  0.176  0.000  0.740 (multiplicity 4)

Results
The value obtained for the density of states at the Fermi level is 13.51 states/eV per cell. The calculation puts the energy of formation at -58.2 kJ/mol of atoms. For the magnetic moment, the calculation gives 0.00 μB per formula unit. As for the crystal system: monoclinic. Its electronic total energy is -5.97 eV/atom. The value obtained for the calculated volume is 25.5 Å³ per atom.

# DyEr3Rh2

A relaxed structure of DyEr3Rh2 (PBE-GGA, Alexandria via LeMat-Bulk).

Cell: 4.626 8.664 7.146 Å, 90.00 90.00 90.00°
Space group Pmc2_1 (No. 26)
Asymmetric unit:
Dy  0.000  0.085  0.000 (multiplicity 2)
Er  0.000  0.332  0.629 (multiplicity 2)
Er  0.500  0.170  0.347 (multiplicity 2)
Er  0.500  0.415  0.976 (multiplicity 2)
Rh  0.000  0.342  0.231 (multiplicity 2)
Rh  0.500  0.160  0.744 (multiplicity 2)

Results
The value obtained for the density of states at the Fermi level is 11.74 states/eV per cell. The calculation puts the energy of formation at -66.2 kJ/mol of atoms. For the magnetic moment, the calculation gives 0.00 μB per formula unit. As for the crystal system: orthorhombic. Its electronic total energy is -6.19 eV/atom. The value obtained for the calculated volume is 23.9 Å³ per atom.

# Dy3Er3Rh2

A relaxed structure of Dy3Er3Rh2 (PBE-GGA, Alexandria via LeMat-Bulk).

Cell: 3.780 13.031 17.859 Å, 90.00 90.00 90.00°
Space group Cmcm (No. 63)
Asymmetric unit:
Dy  0.000  0.059  0.089 (multiplicity 8)
Dy  0.000  0.275  0.250 (multiplicity 4)
Er  0.000  0.328  0.059 (multiplicity 8)
Er  0.000  0.451  0.750 (multiplicity 4)
Rh  0.000  0.297  0.636 (multiplicity 8)

Results
The value obtained for the density of states at the Fermi level is 31.94 states/eV per cell. The calculation puts the energy of formation at -41.0 kJ/mol of atoms. For the magnetic moment, the calculation gives 0.00 μB per formula unit. As for the crystal system: orthorhombic. Its electronic total energy is -5.70 eV/atom. The value obtained for the calculated volume is 27.5 Å³ per atom.

# Dy2Er2Rh3

A relaxed structure of Dy2Er2Rh3 (PBE-GGA, Alexandria via LeMat-Bulk).

Cell: 8.273 4.774 8.390 Å, 90.00 109.30 90.00°
Space group C2/m (No. 12)
Asymmetric unit:
Dy  0.125  0.000  0.374 (multiplicity 4)
Er  0.124  0.500  0.874 (multiplicity 4)
Rh  0.000  0.000  0.000 (multiplicity 2)
Rh  0.249  0.500  0.246 (multiplicity 4)

Results
The value obtained for the density of states at the Fermi level is 6.58 states/eV per cell. The calculation puts the energy of formation at -78.7 kJ/mol of atoms. For the magnetic moment, the calculation gives 0.00 μB per formula unit. As for the crystal system: monoclinic. Its electronic total energy is -6.58 eV/atom. The value obtained for the calculated volume is 22.3 Å³ per atom.

# Dy3ErRh2

A relaxed structure of Dy3ErRh2 (PBE-GGA, Alexandria via LeMat-Bulk).

Cell: 6.683 13.509 7.069 Å, 90.00 90.00 90.00°
Space group Ibam (No. 72)
Asymmetric unit:
Dy  0.000  0.000  0.250 (multiplicity 4)
Dy  0.000  0.269  0.250 (multiplicity 8)
Er  0.000  0.500  0.000 (multiplicity 4)
Rh  0.212  0.138  0.000 (multiplicity 8)

Results
The value obtained for the density of states at the Fermi level is 20.22 states/eV per cell. The calculation puts the energy of formation at -56.1 kJ/mol of atoms. For the magnetic moment, the calculation gives 0.00 μB per formula unit. As for the crystal system: orthorhombic. Its electronic total energy is -6.09 eV/atom. The value obtained for the calculated volume is 26.6 Å³ per atom.

# Dy3ErRh8

A relaxed structure of Dy3ErRh8 (PBE-GGA, Alexandria via LeMat-Bulk).

Cell: 5.3308 5.3308 26.0979 Å, 90.00 90.00 120.00°
Space group R3m (No. 160, hexagonal axes)
Asymmetric unit:
Dy  0.0000  0.0000  0.0000 (multiplicity 3)
Dy  0.0000  0.0000  0.1254 (multiplicity 3)
Dy  0.0000  0.0000  0.5004 (multiplicity 3)
Er  0.0000  0.0000  0.6255 (multiplicity 3)
Rh  0.0000  0.0000  0.3128 (multiplicity 3)
Rh  0.0000  0.0000  0.8128 (multiplicity 3)
Rh  0.9998  0.4999  0.0626 (multiplicity 9)
Rh  0.0001  0.5001  0.5630 (multiplicity 9)

Results
The value obtained for the density of states at the Fermi level is 21.60 states/eV per cell. The calculation puts the energy of formation at -72.7 kJ/mol of atoms. For the magnetic moment, the calculation gives 0.00 μB per formula unit. As for the crystal system: trigonal. Its electronic total energy is -7.19 eV/atom. The value obtained for the calculated volume is 17.8 Å³ per atom.

# Dy3ErRh2

A relaxed structure of Dy3ErRh2 (PBE-GGA, Alexandria via LeMat-Bulk).

Cell: 15.431 4.228 4.715 Å, 90.00 107.78 90.00°
Space group C2/m (No. 12)
Asymmetric unit:
Dy  0.000  0.000  0.000 (multiplicity 2)
Dy  0.186  0.500  0.186 (multiplicity 4)
Er  0.000  0.500  0.500 (multiplicity 2)
Rh  0.130  0.000  0.631 (multiplicity 4)

Results
The value obtained for the density of states at the Fermi level is 8.11 states/eV per cell. The calculation puts the energy of formation at -53.6 kJ/mol of atoms. For the magnetic moment, the calculation gives 0.00 μB per formula unit. As for the crystal system: monoclinic. Its electronic total energy is -6.07 eV/atom. The value obtained for the calculated volume is 24.4 Å³ per atom.

# DyEr3Rh2

A relaxed structure of DyEr3Rh2 (PBE-GGA, Alexandria via LeMat-Bulk).

Cell: 6.661 13.482 7.012 Å, 90.00 90.00 90.00°
Space group Ibam (No. 72)
Asymmetric unit:
Dy  0.000  0.000  0.000 (multiplicity 4)
Er  0.000  0.232  0.250 (multiplicity 8)
Er  0.000  0.500  0.250 (multiplicity 4)
Rh  0.211  0.362  0.000 (multiplicity 8)

Results
The value obtained for the density of states at the Fermi level is 19.52 states/eV per cell. The calculation puts the energy of formation at -57.6 kJ/mol of atoms. For the magnetic moment, the calculation gives 0.00 μB per formula unit. As for the crystal system: orthorhombic. Its electronic total energy is -6.10 eV/atom. The value obtained for the calculated volume is 26.2 Å³ per atom.